Compound: Ga2CoIrO8
Source: Alexandria
Functional: GGA+U
Structure: optimized geometry

abc: 4.5410 4.5395 6.1390
angles: 90.00 90.00 92.32
Site moments in Bohr magnetons follow the coordinates.
Positions (direct):
1 Ga 0.5000 0.5000 0.7431  0.01
2 Ga 0.5000 0.5000 0.2569  0.01
3 Co 0.0000 0.0000 0.5000  2.82
4 Ir 0.0000 0.0000 0.0000  -0.41
5 O 0.1929 0.8067 0.2383  0.01
6 O 0.6976 0.6979 0.0000  -0.03
7 O 0.8071 0.1933 0.2384  0.01
8 O 0.8071 0.1933 0.7617  0.01
9 O 0.3024 0.3021 0.0000  -0.03
10 O 0.1929 0.8067 0.7616  0.01
11 O 0.7043 0.7046 0.5000  0.11
12 O 0.2957 0.2954 0.5000  0.11

Results
Magnetic moment, μB/atom: 0.222
Total DFT energy (no corrections), eV/atom: -6.0620
Mass density, g/cm³: 6.81